1.
This record from Alexandria via LeMat-Bulk describes a relaxed structure of Mg3ZnCu. The functional is GGA-PBE.

a = 4.931 Å, b = 4.931 Å, c = 4.931 Å
α = 90.00°, β = 90.00°, γ = 90.00°
Fractional positions:
Zn 0.000 0.000 0.000
Mg 0.000 0.500 0.000
Mg 0.000 0.000 0.500
Mg 0.500 0.000 0.000
Cu 0.500 0.500 0.500

Summary:
energy relative to the lowest polymorph listed for this composition	389.0	meV/atom
SG	Pm-3m (221)
formation energy	0.44	eV per atom


2.
This record from Alexandria via LeMat-Bulk describes a relaxed structure of Dy2Y2Sb3. The functional is GGA-PBE.

a = 4.350 Å, b = 7.369 Å, c = 7.398 Å
α = 98.79°, β = 90.04°, γ = 107.22°
Fractional positions:
Dy 0.880 0.759 0.618
Dy 0.120 0.241 0.382
Y 0.624 0.249 0.868
Y 0.376 0.751 0.132
Sb 0.000 0.000 0.000
Sb 0.744 0.489 0.253
Sb 0.256 0.511 0.747

Summary:
energy relative to the lowest polymorph listed for this composition	143.3	meV/atom
SG	P-1 (2)
formation energy from raw total energies	-866.7	meV/atom


3.
This record from Alexandria via LeMat-Bulk describes a relaxed structure of Tb2SmCu. The functional is GGA-PBE.

a = 3.532 Å, b = 3.532 Å, c = 8.669 Å
α = 90.00°, β = 90.00°, γ = 90.00°
Fractional positions:
Tb 0.000 0.000 0.805
Tb 0.000 0.000 0.195
Cu 0.500 0.500 0.000
Sm 0.500 0.500 0.500

Summary:
energy relative to the lowest polymorph listed for this composition	0.0	meV/atom
SG	P4/mmm (123)
formation energy	-0.10	eV per atom


4.
This record from Alexandria via LeMat-Bulk describes a relaxed structure of Ta2TcHg. The functional is GGA-PBE.

a = 2.885 Å, b = 2.885 Å, c = 9.142 Å
α = 90.00°, β = 90.00°, γ = 109.32°
Fractional positions:
Hg 0.500 0.500 0.750
Ta 0.000 0.000 0.022
Ta 0.000 0.000 0.478
Tc 0.500 0.500 0.250

Summary:
SG	Cmmm (65)
formation energy	0.13	eV per atom


5.
This record from Alexandria via LeMat-Bulk describes a relaxed structure of AcPrTe2O. The functional is GGA-PBE.

a = 4.414 Å, b = 4.414 Å, c = 16.302 Å
α = 90.00°, β = 90.00°, γ = 90.00°
Fractional positions:
Ac 0.500 0.000 0.574
Ac 0.000 0.500 0.426
Pr 0.500 0.000 0.128
Pr 0.000 0.500 0.872
Te 0.000 0.500 0.690
Te 0.000 0.500 0.086
Te 0.500 0.000 0.914
Te 0.500 0.000 0.310
O 0.000 0.000 0.500
O 0.500 0.500 0.500

Summary:
SG	P4/nmm (129)
formation energy from raw total energies	-2142.1	meV/atom


6.
This record from Alexandria via LeMat-Bulk describes a relaxed structure of Ba3ReIr. The functional is GGA-PBE.

a = 5.980 Å, b = 5.980 Å, c = 5.980 Å
α = 90.00°, β = 90.00°, γ = 90.00°
Fractional positions:
Re 0.500 0.500 0.500
Ir 0.000 0.000 0.000
Ba 0.000 0.500 0.000
Ba 0.000 0.000 0.500
Ba 0.500 0.000 0.000

Summary:
energy relative to the lowest polymorph listed for this composition	0.0	meV/atom
SG	Pm-3m (221)
formation energy	1.02	eV per atom


7.
This record from Alexandria via LeMat-Bulk describes a relaxed structure of Er5AgSb4. The functional is GGA-PBE.

a = 6.113 Å, b = 7.503 Å, c = 7.503 Å
α = 80.45°, β = 65.96°, γ = 65.96°
Fractional positions:
Er 0.897 0.411 0.798
Er 0.307 0.798 0.589
Er 0.694 0.202 0.411
Er 0.105 0.589 0.202
Er 0.503 0.000 0.000
Ag 0.003 0.000 0.000
Sb 0.400 0.399 0.802
Sb 0.799 0.802 0.601
Sb 0.202 0.198 0.399
Sb 0.601 0.601 0.198

Summary:
SG	I4 (79)
formation energy from raw total energies	-839.8	meV/atom


8.
This record from Alexandria via LeMat-Bulk describes a relaxed structure of SbMoBr2. The functional is GGA-PBE.

a = 7.705 Å, b = 7.705 Å, c = 7.705 Å
α = 156.49°, β = 141.68°, γ = 45.45°
Fractional positions:
Sb 0.345 0.845 0.500
Mo 0.508 0.508 0.000
Br 0.995 0.995 0.000
Br 0.652 0.152 0.500

Summary:
energy relative to the lowest polymorph listed for this composition	326.8	meV/atom
SG	Imm2 (44)
formation energy from raw total energies	227.1	meV/atom


9.
This record from Alexandria via LeMat-Bulk describes a relaxed structure of Zr5GaFe2. The functional is GGA-PBE.

a = 7.196 Å, b = 7.196 Å, c = 7.770 Å
α = 117.59°, β = 117.59°, γ = 90.00°
Fractional positions:
Zr 0.519 0.701 0.720
Zr 0.799 0.981 0.280
Zr 0.000 0.000 0.000
Zr 0.500 0.500 0.000
Zr 0.201 0.019 0.720
Zr 0.701 0.201 0.720
Zr 0.019 0.519 0.720
Zr 0.299 0.799 0.280
Zr 0.981 0.481 0.280
Zr 0.481 0.299 0.280
Ga 0.750 0.750 0.500
Ga 0.250 0.250 0.500
Fe 0.133 0.367 0.000
Fe 0.633 0.133 0.000
Fe 0.367 0.867 0.000
Fe 0.867 0.633 0.000

Summary:
SG	I4/mcm (140)
formation energy	-0.21	eV per atom


10.
This record from Alexandria via LeMat-Bulk describes a relaxed structure of LaMg2Ru. The functional is GGA-PBE.

a = 9.730 Å, b = 9.730 Å, c = 9.730 Å
α = 20.32°, β = 20.32°, γ = 20.32°
Fractional positions:
La 0.768 0.768 0.768
Mg 0.995 0.995 0.995
Mg 0.235 0.235 0.235
Ru 0.502 0.502 0.502

Summary:
SG	R3m (160)
formation energy	0.16	eV per atom


11.
This record from Alexandria via LeMat-Bulk describes a relaxed structure of Mg4Co. The functional is GGA-PBE.

a = 5.165 Å, b = 6.031 Å, c = 7.502 Å
α = 113.70°, β = 110.14°, γ = 90.00°
Fractional positions:
Mg 0.673 0.025 0.346
Mg 0.173 0.321 0.346
Mg 0.416 0.581 0.832
Mg 0.916 0.251 0.832
Mg 0.584 0.419 0.168
Mg 0.084 0.749 0.168
Mg 0.827 0.679 0.654
Mg 0.327 0.975 0.654
Co 0.750 0.000 0.000
Co 0.250 0.000 0.000

Summary:
SG	Ibam (72)
formation energy	0.05	eV per atom


12.
This record from Alexandria via LeMat-Bulk describes a relaxed structure of Sb2RuRh. The functional is GGA-PBE.

a = 4.667 Å, b = 4.667 Å, c = 4.667 Å
α = 60.00°, β = 60.00°, γ = 60.00°
Fractional positions:
Sb 0.250 0.250 0.250
Sb 0.750 0.750 0.750
Rh 0.500 0.500 0.500
Ru 0.000 0.000 0.000

Summary:
energy relative to the lowest polymorph listed for this composition	189.3	meV/atom
SG	Fm-3m (225)
formation energy from raw total energies	27.1	meV/atom


Number 1: calculated volume 23.98 Å³/atom. Number 2: calculated volume 31.94 Å³/atom. Number 3: calculated volume 27.04 Å³/atom. Number 4: calculated volume 17.95 Å³/atom. Number 5: calculated volume 31.76 Å³/atom. Number 6: calculated volume 42.78 Å³/atom. Number 7: calculated volume 28.70 Å³/atom. Number 8: calculated volume 28.21 Å³/atom. Number 9: calculated volume 19.00 Å³/atom. Number 10: calculated volume 24.31 Å³/atom. Number 11: calculated volume 19.83 Å³/atom. Number 12: calculated volume 17.97 Å³/atom.